1:
## SrLaSb2 (PBE)

Data for a geometry-optimized SrLaSb2 structure.

As for the magnetic moment: 0.00 μB/f.u.

a = 4.6597 Å, b = 4.6970 Å, c = 6.6243 Å
α = 90.00°, β = 90.00°, γ = 90.00°
Fractional positions:
Sr 0.0000 0.0000 0.0000
La 0.5000 0.5000 0.5000
Sb 0.0000 0.0000 0.5000
Sb 0.5000 0.5000 0.0000


2:
## SrLaSb2 (PBE)

Data for a geometry-optimized SrLaSb2 structure.

As for the magnetic moment: 0.00 μB/f.u.

a = 5.6709 Å, b = 5.6709 Å, c = 5.6709 Å
α = 60.00°, β = 60.00°, γ = 60.00°
Fractional positions:
Sr 0.0000 0.0000 0.0000
La 0.5000 0.5000 0.5000
Sb 0.2500 0.2500 0.2500
Sb 0.7500 0.7500 0.7500


3:
## SrLaSb2 (PBE)

Data for a geometry-optimized SrLaSb2 structure.

As for the magnetic moment: 0.00 μB/f.u.

a = 5.5957 Å, b = 5.5957 Å, c = 5.5957 Å
α = 60.00°, β = 60.00°, γ = 60.00°
Fractional positions:
Sr 0.0000 0.0000 0.0000
La 0.7500 0.7500 0.7500
Sb 0.2500 0.2500 0.2500
Sb 0.5000 0.5000 0.5000


Most stable = 1


1:
## SrLa3Sb (PBE)

Data for a geometry-optimized SrLa3Sb structure.

As for the magnetic moment: 0.00 μB/f.u.

a = 6.1661 Å, b = 6.1661 Å, c = 6.1661 Å
α = 90.00°, β = 90.00°, γ = 90.00°
Fractional positions:
Sr 0.0000 0.0000 0.0000
La 0.0000 0.5000 0.5000
La 0.5000 0.0000 0.5000
La 0.5000 0.5000 0.0000
Sb 0.5000 0.5000 0.5000


2:
## SrLa3Sb (PBE)

Data for a geometry-optimized SrLa3Sb structure.

As for the magnetic moment: 0.00 μB/f.u.

a = 5.7592 Å, b = 5.7592 Å, c = 5.7592 Å
α = 90.00°, β = 90.00°, γ = 90.00°
Fractional positions:
Sr 0.0000 0.0000 0.0000
La 0.0000 0.0000 0.5000
La 0.0000 0.5000 0.0000
La 0.5000 0.0000 0.0000
Sb 0.5000 0.5000 0.5000


Most stable = 1